Entry 1:
# CoCuNi2F GGA+U relaxed
# - Crystal system: tetragonal
# - Final energy: -13.806 eV for the cell shown
# - D(E_F): 3.93 states/eV/cell
data_CoCuNi2F
_chemical_formula_sum 'Co1 Cu1 Ni2 F1'
_space_group_name_H-M_alt 'P 4/m m m'
_space_group_IT_number 123
_space_group_name_Hall '-P 4 2'
_cell_length_a 3.984
_cell_length_b 3.984
_cell_length_c 4.264
_cell_angle_alpha 90.00
_cell_angle_beta 90.00
_cell_angle_gamma 90.00
loop_
_atom_site_label
_atom_site_type_symbol
_atom_site_fract_x
_atom_site_fract_y
_atom_site_fract_z
Co1 Co 0.000 0.000 0.000
Cu1 Cu 0.500 0.500 0.000
Ni1 Ni 0.000 0.500 0.500
F1 F 0.500 0.500 0.500

---

Entry 2:
# CoCuO2F GGA+U relaxed
# - Crystal system: tetragonal
# - Final energy: -23.627 eV for the cell shown
# - D(E_F): 2.03 states/eV/cell
data_CoCuO2F
_chemical_formula_sum 'Co1 Cu1 O2 F1'
_space_group_name_H-M_alt 'P 4/m m m'
_space_group_IT_number 123
_space_group_name_Hall '-P 4 2'
_cell_length_a 3.654
_cell_length_b 3.654
_cell_length_c 4.087
_cell_angle_alpha 90.00
_cell_angle_beta 90.00
_cell_angle_gamma 90.00
loop_
_atom_site_label
_atom_site_type_symbol
_atom_site_fract_x
_atom_site_fract_y
_atom_site_fract_z
Co1 Co 0.000 0.000 0.000
Cu1 Cu 0.500 0.500 0.500
O1 O 0.000 0.500 0.000
F1 F 0.000 0.000 0.500

---

Entry 3:
# CoCuO2F GGA+U relaxed
# - Crystal system: tetragonal
# - Final energy: -23.054 eV for the cell shown
# - D(E_F): 2.64 states/eV/cell
data_CoCuO2F
_chemical_formula_sum 'Co1 Cu1 O2 F1'
_space_group_name_H-M_alt 'P 4/m m m'
_space_group_IT_number 123
_space_group_name_Hall '-P 4 2'
_cell_length_a 3.808
_cell_length_b 3.808
_cell_length_c 3.711
_cell_angle_alpha 90.00
_cell_angle_beta 90.00
_cell_angle_gamma 90.00
loop_
_atom_site_label
_atom_site_type_symbol
_atom_site_fract_x
_atom_site_fract_y
_atom_site_fract_z
Co1 Co 0.000 0.000 0.000
Cu1 Cu 0.500 0.500 0.500
O1 O 0.000 0.500 0.500
F1 F 0.500 0.500 0.000

---

Entry 4:
# Co2CuPbF8 GGA+U relaxed
# - Crystal system: monoclinic
# - Final energy: -56.710 eV for the cell shown
# - D(E_F): 1.08 states/eV/cell
data_Co2CuPbF8
_chemical_formula_sum 'Co2 Cu1 Pb1 F8'
_space_group_name_H-M_alt 'P 1 2/m 1'
_space_group_IT_number 10
_cell_length_a 5.068
_cell_length_b 6.665
_cell_length_c 5.075
_cell_angle_alpha 90.00
_cell_angle_beta 93.45
_cell_angle_gamma 90.00
loop_
_space_group_symop_operation_xyz
'x,y,z'
'-x,-y,-z'
'-x,y,-z'
'x,-y,z'
loop_
_atom_site_label
_atom_site_type_symbol
_atom_site_fract_x
_atom_site_fract_y
_atom_site_fract_z
Co1 Co 0.000 0.232 0.000
Cu1 Cu 0.500 0.000 0.500
Pb1 Pb 0.500 0.500 0.500
F1 F 0.165 0.500 0.833
F2 F 0.180 0.000 0.819
F3 F 0.298 0.208 0.296

---

Entry 5:
# CoCuPdF6 GGA+U relaxed
# - Crystal system: tetragonal
# - Final energy: -79.173 eV for the cell shown
# - D(E_F): 14.32 states/eV/cell
data_CoCuPdF6
_chemical_formula_sum 'Co2 Cu2 Pd2 F12'
_space_group_name_H-M_alt 'P 42 n m'
_space_group_IT_number 102
_cell_length_a 4.793
_cell_length_b 4.793
_cell_length_c 9.952
_cell_angle_alpha 90.00
_cell_angle_beta 90.00
_cell_angle_gamma 90.00
loop_
_space_group_symop_operation_xyz
'x,y,z'
'-y+1/2,x+1/2,z+1/2'
'-x,-y,z'
'y+1/2,-x+1/2,z+1/2'
'-x+1/2,y+1/2,z+1/2'
'y,x,z'
'x+1/2,-y+1/2,z+1/2'
'-y,-x,z'
loop_
_atom_site_label
_atom_site_type_symbol
_atom_site_fract_x
_atom_site_fract_y
_atom_site_fract_z
Co1 Co 0.000 0.000 0.000
Cu1 Cu 0.000 0.000 0.333
Pd1 Pd 0.000 0.000 0.666
F1 F 0.188 0.188 0.166
F2 F 0.203 0.203 0.841
F3 F 0.204 0.204 0.495

---

Entry 6:
# Rb2CoCu3F12 GGA+U relaxed
# - Crystal system: trigonal
# - Final energy: -229.704 eV for the cell shown
# - D(E_F): 28.16 states/eV/cell
data_Rb2CoCu3F12
_chemical_formula_sum 'Rb6 Co3 Cu9 F36'
_space_group_name_H-M_alt 'R -3 m'
_space_group_IT_number 166
_space_group_name_Hall '-R 3 2"'
_cell_length_a 7.2587
_cell_length_b 7.2587
_cell_length_c 17.9122
_cell_angle_alpha 90.00
_cell_angle_beta 90.00
_cell_angle_gamma 120.00
loop_
_atom_site_label
_atom_site_type_symbol
_atom_site_fract_x
_atom_site_fract_y
_atom_site_fract_z
Rb1 Rb 0.0000 0.0000 0.1223
Co1 Co 0.0000 0.0000 0.5000
Cu1 Cu 0.0000 0.5000 0.0000
F1 F 0.0692 0.5346 0.3571
F2 F 0.0711 0.5356 0.1097

---

| no. | size of the total moment (μB/atom) |
| --- | --- |
| 1 | 0.87 |
| 2 | 0.74 |
| 3 | 0.63 |
| 4 | 0.58 |
| 5 | 0.59 |
| 6 | 0.44 |